LaCrO3: optimized geometry, GGA+U.

## Properties
The total energy is -7.70 eV per atom. The size of the total moment is 6.000 Bohr magnetons per cell. The volume is 13.54 Å³ per atom.

a b c (Å): 5.5291 5.5291 15.3408
angles (deg): 90.00 90.00 120.00
Space group R-3 (No. 148, hexagonal axes)
One atom of each set of equivalent atoms:
La1 0.0000 0.0000 0.1249 (multiplicity 6)
Cr1 0.0000 0.0000 0.3397 (multiplicity 6)
O1 0.0165 0.3989 0.9259 (multiplicity 18)